Model 1:
First-principles (GGA-PBE) data for a geometry-optimized Ba8Ga2Ag structure, as listed in the Alexandria database.

```
Ba8Ga2Ag
1.0
-6.8617 2.7680 0.6830
-1.8449 -8.2389 -3.3500
2.5227 -0.3892 8.7172
Ag Ba Ga
1 8 2
direct
0.1820 0.0065 0.0065
0.5801 0.3373 0.0747
0.5801 0.0747 0.3373
0.1913 0.3700 0.3700
0.9589 0.2003 0.7866
0.9589 0.7866 0.2003
0.7903 0.6499 0.6499
0.3637 0.9313 0.6512
0.3637 0.6512 0.9313
0.5153 0.6974 0.3289
0.5153 0.3289 0.6974
```

Calculated values
Fermi-level density of states in states/eV/atom: 1.269
Total magnetization in μB per formula unit: 0.00

---

Model 2:
First-principles (GGA-PBE) data for a geometry-optimized Ba8Ga2Ag structure, as listed in the Alexandria database.

```
Ba8Ga2Ag
1.0
-1.6788 -3.1699 4.5625
7.4115 0.9301 3.3734
-4.9563 9.8243 1.3106
Ba Ga Ag
8 2 1
direct
0.4034 0.5583 0.8068
0.6682 0.9664 0.3364
0.7925 0.6802 0.5850
0.9616 0.2035 0.9231
0.2075 0.3198 0.4150
0.3318 0.0336 0.6636
0.5966 0.4417 0.1932
0.0384 0.7965 0.0769
0.8116 0.2848 0.6232
0.1884 0.7152 0.3768
0.5000 0.0000 0.0000
```

Calculated values
Fermi-level density of states in states/eV/atom: 0.959
Total magnetization in μB per formula unit: 0.00

---

In order of decreasing stability: model 2, model 1.

---

Model 1:
First-principles (GGA-PBE) data for a geometry-optimized Ba12GaAg6 structure, as listed in the Alexandria database.

```
Ba12GaAg6
1.0
-6.3006 5.0648 -6.1768
0.8084 -9.6415 -3.1448
-3.6792 0.1766 9.4834
Ba Ga Ag
12 1 6
direct
0.2938 0.1123 0.8185
0.2938 0.4753 0.1815
0.7062 0.5247 0.8185
0.7062 0.8877 0.1815
0.1123 0.8185 0.2938
0.4753 0.1815 0.2938
0.5247 0.8185 0.7062
0.8877 0.1815 0.7062
0.8185 0.2938 0.1123
0.1815 0.2938 0.4753
0.8185 0.7062 0.5247
0.1815 0.7062 0.8877
0.0000 0.0000 0.0000
0.3781 0.5000 0.8781
0.6219 0.5000 0.1219
0.5000 0.8781 0.3781
0.5000 0.1219 0.6219
0.8781 0.3781 0.5000
0.1219 0.6219 0.5000
```

Calculated values
Fermi-level density of states in states/eV/atom: 1.148
Total magnetization in μB per formula unit: 0.00

---

Model 2:
First-principles (GGA-PBE) data for a geometry-optimized Ba12GaAg6 structure, as listed in the Alexandria database.

```
Ba12GaAg6
1.0
-1.0344 8.1578 -5.5530
-4.3367 -6.7710 -5.8139
-7.0978 1.4516 6.7801
Ba Ga Ag
12 1 6
direct
0.8237 0.5832 0.4286
0.4286 0.8237 0.5832
0.5832 0.4286 0.8237
0.1763 0.4168 0.5714
0.5714 0.1763 0.4168
0.4168 0.5714 0.1763
0.0758 0.9473 0.3188
0.0527 0.6812 0.9242
0.6812 0.9242 0.0527
0.9242 0.0527 0.6812
0.9473 0.3188 0.0758
0.3188 0.0758 0.9473
0.0000 0.0000 0.0000
0.6867 0.8634 0.3805
0.6195 0.3133 0.1366
0.1366 0.6195 0.3133
0.3133 0.1366 0.6195
0.3805 0.6867 0.8634
0.8634 0.3805 0.6867
```

Calculated values
Fermi-level density of states in states/eV/atom: 0.876
Total magnetization in μB per formula unit: 0.00

---

In order of decreasing stability: model 1, model 2.

---

Model 1:
First-principles (GGA-PBE) data for a geometry-optimized BaGa2Ag4 structure, as listed in the Alexandria database.

```
BaGa2Ag4
1.0
4.7479 0.0000 0.0000
0.0000 4.7479 0.0000
0.0000 -2.3740 6.9473
Ba Ga Ag
1 2 4
direct
0.0000 0.0000 0.0000
0.5000 0.5977 0.1954
0.5000 0.4023 0.8046
0.5000 0.8107 0.6214
0.0000 0.6889 0.3779
0.5000 0.1893 0.3786
0.0000 0.3111 0.6221
```

Calculated values
Fermi-level density of states in states/eV/atom: 0.383
Total magnetization in μB per formula unit: 0.00

---

Model 2:
First-principles (GGA-PBE) data for a geometry-optimized BaGa2Ag4 structure, as listed in the Alexandria database.

```
BaGa2Ag4
1.0
-1.8475 3.5860 2.0537
-7.0143 -2.8099 -1.4035
0.3847 -8.8667 15.8286
Ag Ba Ga
16 4 8
direct
0.2500 0.2992 0.7004
0.7500 0.7008 0.2996
0.7500 0.7992 0.7996
0.2500 0.2008 0.2004
0.2500 0.6683 0.6907
0.7500 0.3317 0.3093
0.7500 0.1683 0.8093
0.2500 0.8317 0.1907
0.2500 0.3197 0.5410
0.7500 0.6803 0.4590
0.7500 0.8197 0.9590
0.2500 0.1803 0.0410
0.2500 0.4980 0.3994
0.7500 0.5020 0.6006
0.7500 0.9980 0.1006
0.2500 0.0020 0.8994
0.7500 0.9972 0.6105
0.2500 0.0028 0.3895
0.2500 0.4972 0.8895
0.7500 0.5028 0.1105
0.2500 0.6899 0.5391
0.7500 0.3101 0.4609
0.7500 0.1899 0.9609
0.2500 0.8101 0.0391
0.2500 0.9816 0.7546
0.7500 0.0184 0.2454
0.7500 0.4816 0.7454
0.2500 0.5184 0.2546
```

Calculated values
Fermi-level density of states in states/eV/atom: 0.477
Total magnetization in μB per formula unit: 0.00

---

In order of decreasing stability: model 1, model 2.

---

Model 1:
First-principles (GGA-PBE) data for a geometry-optimized Ba8GaAg2 structure, as listed in the Alexandria database.

```
Ba8GaAg2
1.0
5.8841 0.0000 0.0000
0.0000 8.2355 0.2740
-2.9421 -3.1932 10.2088
Ba Ga Ag
8 1 2
direct
0.4115 0.5693 0.8230
0.6650 0.9678 0.3299
0.7917 0.6714 0.5834
0.9647 0.1942 0.9293
0.2083 0.3286 0.4166
0.3350 0.0322 0.6701
0.5885 0.4307 0.1770
0.0353 0.8058 0.0707
0.5000 0.0000 0.0000
0.8107 0.2768 0.6213
0.1893 0.7232 0.3787
```

Calculated values
Fermi-level density of states in states/eV/atom: 1.362
Total magnetization in μB per formula unit: 0.00

---

Model 2:
First-principles (GGA-PBE) data for a geometry-optimized Ba8GaAg2 structure, as listed in the Alexandria database.

```
Ba8GaAg2
1.0
-3.5119 5.2726 -3.8992
1.0879 -6.3352 -6.4261
-6.5216 -2.2848 5.9045
Ag Ba Ga
2 8 1
direct
0.4868 0.6920 0.3229
0.4868 0.3229 0.6920
0.5845 0.3439 0.0814
0.5845 0.0814 0.3439
0.1793 0.3532 0.3532
0.9800 0.1986 0.7919
0.9800 0.7919 0.1986
0.7970 0.6537 0.6537
0.3559 0.9287 0.6581
0.3559 0.6581 0.9287
0.2089 0.0096 0.0096
```

Calculated values
Fermi-level density of states in states/eV/atom: 1.370
Total magnetization in μB per formula unit: 0.00

---

In order of decreasing stability: model 1, model 2.

---

Model 1:
First-principles (GGA-PBE) data for a geometry-optimized BaGa3Ag3 structure, as listed in the Alexandria database.

```
BaGa3Ag3
1.0
-1.0410 1.0240 6.8344
2.0994 -4.8111 4.6138
7.2927 2.2719 4.3436
Ba Ga Ag
2 6 6
direct
0.3402 0.3402 0.9794
0.6598 0.6598 0.0206
0.1395 0.7033 0.2561
0.9011 0.1395 0.2561
0.7033 0.9011 0.2561
0.2967 0.0989 0.7439
0.0989 0.8605 0.7439
0.8605 0.2967 0.7439
0.5848 0.7294 0.6092
0.7294 0.0765 0.6092
0.0765 0.5848 0.6092
0.9235 0.4152 0.3908
0.2706 0.9235 0.3908
0.4152 0.2706 0.3908
```

Calculated values
Fermi-level density of states in states/eV/atom: 0.494
Total magnetization in μB per formula unit: 0.00

---

Model 2:
First-principles (GGA-PBE) data for a geometry-optimized BaGa3Ag3 structure, as listed in the Alexandria database.

```
BaGa3Ag3
1.0
-0.3970 3.6309 2.8538
-6.1430 -5.4431 6.0707
7.5075 -0.2119 1.3140
Ba Ga Ag
2 6 6
direct
0.7500 0.3276 0.7283
0.2500 0.6724 0.2717
0.7500 0.9528 0.3484
0.7500 0.3892 0.2211
0.7500 0.6191 0.5707
0.2500 0.0472 0.6516
0.2500 0.6108 0.7789
0.2500 0.3809 0.4293
0.7500 0.7572 0.9690
0.7500 0.0931 0.1090
0.7500 0.9082 0.6676
0.2500 0.2428 0.0310
0.2500 0.9069 0.8910
0.2500 0.0918 0.3324
```

Calculated values
Fermi-level density of states in states/eV/atom: 0.435
Total magnetization in μB per formula unit: 0.00

---

In order of decreasing stability: model 2, model 1.

---

Model 1:
First-principles (GGA-PBE) data for a geometry-optimized Ba2GaAgH structure, as listed in the Alexandria database.

```
Ba2GaAgH
1.0
-4.9633 2.5435 1.6581
-2.3264 -1.1441 -5.2088
-1.3693 -3.5838 1.3987
H Ga Ba Ag
1 1 2 1
direct
0.0000 0.0000 0.0000
0.5000 0.5000 0.5000
0.0000 0.5000 0.0000
0.5000 0.0000 0.0000
0.0000 0.0000 0.5000
```

Calculated values
Fermi-level density of states in states/eV/atom: 0.350
Total magnetization in μB per formula unit: 0.00

---

Model 2:
First-principles (GGA-PBE) data for a geometry-optimized Ba2GaAgH structure, as listed in the Alexandria database.

```
Ba2GaAgH
1.0
-5.0856 2.2803 1.1873
-0.3610 -3.2391 4.6745
1.9005 3.0586 2.2662
H Ga Ba Ag
1 1 2 1
direct
0.0000 0.0000 0.0000
0.0000 0.0000 0.5000
0.0000 0.5000 0.0000
0.5000 0.0000 0.0000
0.5000 0.5000 0.5000
```

Calculated values
Fermi-level density of states in states/eV/atom: 0.682
Total magnetization in μB per formula unit: 0.00

---

In order of decreasing stability: model 1, model 2.

---

Model 1:
First-principles (GGA-PBE) data for a geometry-optimized BaIn2GaAg structure, as listed in the Alexandria database.

```
BaIn2GaAg
1.0
-2.7564 -5.8718 0.6511
4.5282 -2.4496 -2.9211
3.1672 -0.8622 5.6326
Ga Ba Ag In
1 1 1 2
direct
0.5000 0.5000 0.5000
0.0000 0.0000 0.0000
0.0000 0.5000 0.0000
0.0000 0.0000 0.5000
0.5000 0.0000 0.0000
```

Calculated values
Fermi-level density of states in states/eV/atom: 1.449
Total magnetization in μB per formula unit: 0.00

---

Model 2:
First-principles (GGA-PBE) data for a geometry-optimized BaIn2GaAg structure, as listed in the Alexandria database.

```
BaIn2GaAg
1.0
4.8451 0.0000 0.0000
0.0000 4.7293 0.0000
-2.4226 -2.3646 5.9095
Ba In Ga Ag
1 2 1 1
direct
0.4380 0.4380 0.8760
0.6964 0.1964 0.3928
0.0551 0.0551 0.1102
0.8206 0.8206 0.6413
0.2020 0.7020 0.4040
```

Calculated values
Fermi-level density of states in states/eV/atom: 0.495
Total magnetization in μB per formula unit: 0.00

---

In order of decreasing stability: model 2, model 1.

---

Model 1:
First-principles (GGA-PBE) data for a geometry-optimized Ba2GaAgRh structure, as listed in the Alexandria database.

```
Ba2GaAgRh
1.0
4.6268 0.0000 0.0000
0.0000 4.6268 0.0000
0.0000 0.0000 15.3738
Ba Ga Ag Rh
4 2 2 2
direct
0.0000 0.5000 0.6602
0.0000 0.5000 0.1085
0.5000 0.0000 0.8915
0.5000 0.0000 0.3398
0.5000 0.0000 0.5713
0.0000 0.5000 0.4287
0.5000 0.0000 0.1129
0.0000 0.5000 0.8871
0.0000 0.0000 0.5000
0.5000 0.5000 0.5000
```

Calculated values
Fermi-level density of states in states/eV/atom: 0.775
Total magnetization in μB per formula unit: 0.00

---

Model 2:
First-principles (GGA-PBE) data for a geometry-optimized Ba2GaAgRh structure, as listed in the Alexandria database.

```
Ba2GaAgRh
1.0
-1.0189 1.7902 -5.6448
-0.8602 -5.7117 -1.6562
-4.6959 0.4225 0.9817
Ga Rh Ba Ag
1 1 2 1
direct
0.0000 0.0000 0.5000
0.0000 0.0000 0.0000
0.0000 0.5000 0.0000
0.5000 0.0000 0.0000
0.5000 0.5000 0.5000
```

Calculated values
Fermi-level density of states in states/eV/atom: 0.432
Total magnetization in μB per formula unit: 0.00

---

In order of decreasing stability: model 1, model 2.

---

Model 1:
First-principles (GGA-PBE) data for a geometry-optimized BaGd2Ag structure, as listed in the Alexandria database.

```
BaGd2Ag
1.0
3.7453 0.0000 0.0000
1.8727 3.2436 0.0000
1.8727 1.0812 11.6249
Gd Ba Ag
2 1 1
direct
0.1043 0.1043 0.6871
0.8957 0.8957 0.3129
0.0000 0.0000 0.0000
0.5000 0.5000 0.5000
```

Calculated values
Fermi-level density of states in states/eV/atom: 2.153
Total magnetization in μB per formula unit: 15.44

---

Model 2:
First-principles (GGA-PBE) data for a geometry-optimized BaGd2Ag structure, as listed in the Alexandria database.

```
BaGd2Ag
1.0
-0.1621 2.1578 3.0891
-0.1353 -3.0933 2.1536
9.5854 -0.0465 0.5355
Gd Ba Ag
2 1 1
direct
0.0000 0.0000 0.8220
0.0000 0.0000 0.1780
0.5000 0.5000 0.5000
0.5000 0.5000 0.0000
```

Calculated values
Fermi-level density of states in states/eV/atom: 2.007
Total magnetization in μB per formula unit: 15.01

---

In order of decreasing stability: model 2, model 1.

---

Model 1:
First-principles (GGA-PBE) data for a geometry-optimized BaAgGe2 structure, as listed in the Alexandria database.

```
BaAgGe2
1.0
-3.0680 1.6146 3.8166
1.5107 -3.9861 2.9007
6.0279 3.8310 6.7077
Ge Ba Ag
4 2 2
direct
0.3746 0.1250 0.2500
0.3754 0.6250 0.2500
0.3750 0.6254 0.7500
0.8750 0.6246 0.7500
0.0000 0.0000 0.0000
0.7500 0.2500 0.5000
0.5000 0.5000 0.0000
0.2500 0.7500 0.5000
```

Calculated values
Fermi-level density of states in states/eV/atom: 0.455
Total magnetization in μB per formula unit: 0.00

---

Model 2:
First-principles (GGA-PBE) data for a geometry-optimized BaAgGe2 structure, as listed in the Alexandria database.

```
BaAgGe2
1.0
-2.3635 3.8531 0.7530
2.1816 -2.5256 5.8273
6.2966 3.9855 -0.6300
Ba Ag Ge
2 2 4
direct
0.8489 0.6979 0.2500
0.1511 0.3021 0.7500
0.1169 0.2338 0.2500
0.8831 0.7662 0.7500
0.4081 0.8162 0.9292
0.5919 0.1838 0.0708
0.5919 0.1838 0.4292
0.4081 0.8162 0.5708
```

Calculated values
Fermi-level density of states in states/eV/atom: 0.241
Total magnetization in μB per formula unit: 0.00

---

In order of decreasing stability: model 2, model 1.